# 1
Material: TiSNF2
Method: DFT, GGA-PBE
State: optimized geometry

* space group: P4/mmm (123)
* uncorrected formation energy: -59 meV/atom
* total energy: -4.88 eV/atom

Cell and atoms, written as POSCAR:
```
TiSNF2
1.0
-0.487 -3.961 -2.358
0.907 -2.407 3.856
-3.212 -0.040 0.730
N S F Ti
1 1 2 1
Direct
0.000 0.000 0.500
0.000 0.000 0.000
0.500 0.000 0.000
0.000 0.500 0.000
0.500 0.500 0.500
```

***

# 2
Material: La2MnCuSe5
Method: DFT, GGA-PBE
State: optimized geometry

* space group: Cmc2_1 (36)
* uncorrected formation energy: -1258 meV/atom
* total energy: -5.76 eV/atom

Cell and atoms, written as POSCAR:
```
La2MnCuSe5
1.0
4.089 0.000 0.000
-2.044 8.803 0.000
0.000 0.000 11.817
La Se Cu Mn
4 10 2 2
Direct
0.875 0.749 0.808
0.125 0.251 0.308
0.115 0.231 0.697
0.885 0.769 0.197
0.349 0.698 0.005
0.501 0.001 0.776
0.301 0.601 0.356
0.499 0.999 0.276
0.699 0.399 0.856
0.943 0.886 0.555
0.287 0.575 0.663
0.057 0.114 0.055
0.713 0.425 0.163
0.651 0.302 0.505
0.427 0.853 0.450
0.573 0.147 0.950
0.803 0.605 0.515
0.197 0.395 0.015
```